DFT (PBE) results for Cs12Li3Hg5 after structural relaxation.

a b c (Å): 20.2503 20.2503 20.2503
angles (deg): 109.47 109.47 109.47
With the nearest neighbours (Å) after each atom.
Fractional coordinates of all 80 atoms:
Li  0.7500  0.3750  0.1250  8 Cs 4.29-4.58
Li  0.8750  0.7500  0.1250  8 Cs 4.29-4.58
Li  0.3750  0.7500  0.6250  8 Cs 4.29-4.58
Li  0.2500  0.1250  0.3750  8 Cs 4.29-4.58
Li  0.8750  0.1250  0.2500  8 Cs 4.29-4.58
Li  0.3750  0.6250  0.2500  8 Cs 4.29-4.58
Li  0.6250  0.3750  0.7500  8 Cs 4.29-4.58
Li  0.1250  0.8750  0.7500  8 Cs 4.29-4.58
Li  0.7500  0.8750  0.6250  8 Cs 4.29-4.58
Li  0.6250  0.2500  0.3750  8 Cs 4.29-4.58
Li  0.1250  0.2500  0.8750  8 Cs 4.29-4.58
Li  0.2500  0.6250  0.8750  8 Cs 4.29-4.58
Hg  0.1250  0.3750  0.2500  4 Cs 3.69
Hg  0.0000  0.5000  0.0000  6 Cs 3.88
Hg  0.0000  0.0000  0.0000  6 Cs 3.88
Hg  0.3750  0.2500  0.1250  4 Cs 3.69
Hg  0.5000  0.0000  0.5000  6 Cs 3.88
Hg  0.5000  0.5000  0.0000  6 Cs 3.88
Hg  0.1250  0.7500  0.3750  4 Cs 3.69
Hg  0.7500  0.1250  0.8750  4 Cs 3.69
Hg  0.7500  0.6250  0.3750  4 Cs 3.69
Hg  0.3750  0.1250  0.7500  4 Cs 3.69
Hg  0.6250  0.8750  0.2500  4 Cs 3.69
Hg  0.5000  0.5000  0.5000  6 Cs 3.88
Hg  0.5000  0.0000  0.0000  6 Cs 3.88
Hg  0.0000  0.0000  0.5000  6 Cs 3.88
Hg  0.2500  0.3750  0.6250  4 Cs 3.69
Hg  0.2500  0.8750  0.1250  4 Cs 3.69
Hg  0.0000  0.5000  0.5000  6 Cs 3.88
Hg  0.8750  0.2500  0.6250  4 Cs 3.69
Hg  0.6250  0.7500  0.8750  4 Cs 3.69
Hg  0.8750  0.6250  0.7500  4 Cs 3.69
Cs  0.7180  0.1213  0.0430  2 Hg 3.69-3.88
Cs  0.3250  0.5430  0.4218  2 Hg 3.69-3.88
Cs  0.9570  0.3787  0.2820  2 Hg 3.69-3.88
Cs  0.5430  0.2180  0.1213  2 Hg 3.69-3.88
Cs  0.5967  0.7180  0.6750  2 Hg 3.69-3.88
Cs  0.9570  0.5782  0.1750  2 Hg 3.69-3.88
Cs  0.3250  0.7820  0.4033  2 Hg 3.69-3.88
Cs  0.0782  0.9033  0.1213  2 Hg 3.69-3.88
Cs  0.5782  0.9570  0.6750  2 Hg 3.69-3.88
Cs  0.7180  0.5967  0.1750  2 Hg 3.69-3.88
Cs  0.7820  0.4570  0.3787  2 Hg 3.69-3.88
Cs  0.8250  0.9218  0.0430  2 Hg 3.69-3.88
Cs  0.1213  0.7180  0.5430  2 Hg 3.69-3.88
Cs  0.3787  0.4218  0.0967  2 Hg 3.69-3.88
Cs  0.0967  0.9218  0.3787  2 Hg 3.69-3.88
Cs  0.4033  0.1213  0.5782  2 Hg 3.69-3.88
Cs  0.0967  0.1750  0.2180  2 Hg 3.69-3.88
Cs  0.4570  0.6750  0.0782  2 Hg 3.69-3.88
Cs  0.8250  0.9033  0.2820  2 Hg 3.69-3.88
Cs  0.1213  0.4033  0.0782  2 Hg 3.69-3.88
Cs  0.3787  0.9570  0.7820  2 Hg 3.69-3.88
Cs  0.5782  0.6213  0.4033  2 Hg 3.69-3.88
Cs  0.9218  0.8250  0.5430  2 Hg 3.69-3.88
Cs  0.7820  0.3250  0.9033  2 Hg 3.69-3.88
Cs  0.4218  0.3787  0.5967  2 Hg 3.69-3.88
Cs  0.0782  0.1750  0.4570  2 Hg 3.69-3.88
Cs  0.2180  0.6750  0.0967  2 Hg 3.69-3.88
Cs  0.1750  0.0967  0.7180  2 Hg 3.69-3.88
Cs  0.6213  0.0430  0.2180  2 Hg 3.69-3.88
Cs  0.8787  0.5967  0.9218  2 Hg 3.69-3.88
Cs  0.5430  0.3250  0.9218  2 Hg 3.69-3.88
Cs  0.5967  0.8787  0.4218  2 Hg 3.69-3.88
Cs  0.9033  0.8250  0.7820  2 Hg 3.69-3.88
Cs  0.9033  0.0782  0.6213  2 Hg 3.69-3.88
Cs  0.8787  0.2820  0.4570  2 Hg 3.69-3.88
Cs  0.1750  0.0782  0.9570  2 Hg 3.69-3.88
Cs  0.6213  0.5782  0.9033  2 Hg 3.69-3.88
Cs  0.4218  0.0430  0.3250  2 Hg 3.69-3.88
Cs  0.2820  0.4033  0.8250  2 Hg 3.69-3.88
Cs  0.2180  0.5430  0.6213  2 Hg 3.69-3.88
Cs  0.9218  0.0967  0.8787  2 Hg 3.69-3.88
Cs  0.6750  0.2180  0.5967  2 Hg 3.69-3.88
Cs  0.4570  0.7820  0.8787  2 Hg 3.69-3.88
Cs  0.0430  0.4218  0.8250  2 Hg 3.69-3.88
Cs  0.4033  0.2820  0.3250  2 Hg 3.69-3.88
Cs  0.0430  0.6213  0.7180  2 Hg 3.69-3.88
Cs  0.6750  0.4570  0.5782  2 Hg 3.69-3.88
Cs  0.2820  0.8787  0.9570  2 Hg 3.69-3.88

Calculated values
- volume (Å³/atom) = 79.9
- crystal system = cubic
- formation energy (eV per atom) = 0.05
- E_tot (eV per atom) = -0.82